Record 1
DFT (GGA-PBEsol) results for a relaxed RbSrIN2 crystal.

Calculated values
**Space-group type**: P4/mmm, No. 123
**DFT total energy**: -15.953 eV/cell
**V**: 32.378 A^3/atom
**Theoretical density**: 3.4 Mg/m³
**Density of states at the Fermi level**: 0.8333 states/eV per atom
**Magnetization**: 4.00 μB per formula unit

abc: 5.046 5.046 6.357
angles: 90.00 90.00 90.00
Atoms (fractional coordinates):
Rb 0.000 0.000 0.000
Sr 0.500 0.500 0.500
I 0.000 0.000 0.500
N 0.000 0.500 0.000
N 0.500 0.000 0.000

=====

Record 2
DFT (GGA-PBEsol) results for a relaxed MnCo3 crystal.

Calculated values
**Space-group type**: Pmm2, No. 25
**DFT total energy**: -32.761 eV/cell
**V**: 10.026 A^3/atom
**Theoretical density**: 9.6 Mg/m³
**Density of states at the Fermi level**: 1.4402 states/eV per atom
**Magnetization**: 1.77 μB per formula unit
**Energy of formation from the pure elements**: 53 meV per atom

abc: 2.432 3.890 4.239
angles: 90.00 90.00 90.00
Atoms (fractional coordinates):
Mn 0.000 0.000 0.000
Co 0.000 0.500 0.672
Co 0.500 0.000 0.501
Co 0.500 0.500 0.171